(1)
The following is a GGA-PBE calculation of a relaxed BaH2Pd crystal, from Alexandria.

The value obtained for the total magnetization is 0.0 μB per formula unit. The crystal system is orthorhombic. The volume is 18.17 Å³/atom. The value obtained for the final energy is -0.1436 Ha/atom.

The structure belongs to space group Ama2 (No. 40); the cell edges are 5.423, 9.559 and 5.608 Å and the angles 90.00°, 90.00° and 90.00°. Symmetry generates all atoms from Ba at (0.250, 0.171, 0.000), H at (0.250, 0.124, 0.492), H at (0.250, 0.416, 0.247) and Pd at (0.000, 0.000, 0.541).



(2)
The following is a GGA-PBE calculation of a relaxed CsTcHg2Br crystal, from Alexandria.

The value obtained for the total magnetization is 5.0 μB per formula unit. As for the energy relative to the elements, uncorrected: 1.10 eV/atom. The crystal system is tetragonal. The volume is 59.44 Å³/atom.

The structure belongs to space group P4/mmm (No. 123); the cell edges are 6.854, 6.854 and 6.327 Å and the angles 90.00°, 90.00° and 90.00°. Symmetry generates all atoms from Cs at (0.000, 0.000, 0.000), Tc at (0.000, 0.000, 0.500), Hg at (0.000, 0.500, 0.000) and Br at (0.500, 0.500, 0.500).



Q: Number 2 is which compound?
A: CsTcHg2Br